(1)
# PuTiAlCr, optimized geometry, DFT PBE
# Formation energy ... 0.001 eV/atom
data_PuTiAlCr
_space_group_name_H-M_alt 'F -4 3 m'
_space_group_IT_number 216
_space_group_name_Hall 'F -4 2 3'
_cell_length_a 6.471
_cell_length_b 6.471
_cell_length_c 6.471
_cell_angle_alpha 90.00
_cell_angle_beta 90.00
_cell_angle_gamma 90.00
loop_
_atom_site_label
_atom_site_fract_x
_atom_site_fract_y
_atom_site_fract_z
_atom_site_occupancy
Pu1 0.000 0.000 0.000 1
Ti1 0.250 0.250 0.250 1
Al1 0.000 0.000 0.500 1
Cr1 0.250 0.250 0.750 1



(2)
# Li2TbSb2Au2, optimized geometry, DFT PBE
# Raw formation energy ... -444 kJ/mol of formula units
data_Li2TbSb2Au2
_space_group_name_H-M_alt 'R -3 m'
_space_group_IT_number 166
_space_group_name_Hall '-R 3 2"'
_cell_length_a 4.5281
_cell_length_b 4.5281
_cell_length_c 24.8312
_cell_angle_alpha 90.00
_cell_angle_beta 90.00
_cell_angle_gamma 120.00
loop_
_atom_site_label
_atom_site_fract_x
_atom_site_fract_y
_atom_site_fract_z
_atom_site_occupancy
Li1 0.0000 0.0000 0.1445 1
Tb1 0.0000 0.0000 0.0000 1
Sb1 0.0000 0.0000 0.2628 1
Au1 0.0000 0.0000 0.4424 1



(3)
# TmPd5Pt2, optimized geometry, DFT PBE
# Energy above the most stable polymorph in this dataset ... 0.00 eV/f.u.
# Formation energy ... -0.481 eV/atom
data_TmPd5Pt2
_space_group_name_H-M_alt 'P b a m'
_space_group_IT_number 55
_space_group_name_Hall '-P 2 2ab'
_cell_length_a 5.674
_cell_length_b 11.382
_cell_length_c 4.042
_cell_angle_alpha 90.00
_cell_angle_beta 90.00
_cell_angle_gamma 90.00
loop_
_atom_site_label
_atom_site_fract_x
_atom_site_fract_y
_atom_site_fract_z
_atom_site_occupancy
Tm1 0.000 0.000 0.000 1
Pd1 0.000 0.500 0.000 1
Pd2 0.013 0.250 0.000 1
Pd3 0.247 0.874 0.500 1
Pt1 0.239 0.628 0.500 1



(4)
# CrCdSe2, optimized geometry, DFT PBE
# Raw formation energy ... -95 kJ/mol of formula units
data_CrCdSe2
_space_group_name_H-M_alt 'R -3 m'
_space_group_IT_number 166
_space_group_name_Hall '-R 3 2"'
_cell_length_a 3.2570
_cell_length_b 3.2570
_cell_length_c 28.0332
_cell_angle_alpha 90.00
_cell_angle_beta 90.00
_cell_angle_gamma 120.00
loop_
_atom_site_label
_atom_site_fract_x
_atom_site_fract_y
_atom_site_fract_z
_atom_site_occupancy
Cr1 0.0000 0.0000 0.0000 1
Cd1 0.0000 0.0000 0.5000 1
Se1 0.0000 0.0000 0.3890 1



no.,magnetization (μB/f.u.)
1,3.105
2,0.000
3,0.000
4,0.415